1.
Here is crystalline LiSc2Pt2 at its relaxed geometry from Alexandria. Energies are from PBE.

## Properties
Energy relative to the lowest polymorph listed for this composition = 188 meV/atom
Mass density = 7.39 g/cm3
Volume = 21.88 Å³/atom
M_tot = 0.00 μB per formula unit

CIF file:
```
data_LiSc2Pt2
_cell_length_a 4.455
_cell_length_b 4.455
_cell_length_c 11.021
_cell_angle_alpha 90.00
_cell_angle_beta 90.00
_cell_angle_gamma 90.00
_space_group_name_H-M_alt 'I 4/m m m'
_space_group_IT_number 139
_space_group_name_Hall '-I 4 2'
loop_
_atom_site_label
_atom_site_fract_x
_atom_site_fract_y
_atom_site_fract_z
Li1 0.000 0.000 0.000
Sc1 0.000 0.500 0.250
Pt1 0.000 0.000 0.383
```


2.
Here is crystalline MgTiCd at its relaxed geometry from Alexandria. Energies are from PBE.

## Properties
Mass density = 5.12 g/cm3
Volume = 19.97 Å³/atom
M_tot = 0.00 μB per formula unit
Raw total energy = -21.0 eV/cell

CIF file:
```
data_MgTiCd
_cell_length_a 2.977
_cell_length_b 2.973
_cell_length_c 13.541
_cell_angle_alpha 90.00
_cell_angle_beta 90.09
_cell_angle_gamma 90.00
_space_group_name_H-M_alt 'P 1 21 1'
_space_group_IT_number 4
loop_
_space_group_symop_operation_xyz
'x,y,z'
'-x,y+1/2,-z'
loop_
_atom_site_label
_atom_site_fract_x
_atom_site_fract_y
_atom_site_fract_z
Mg1 0.249 0.000 0.091
Ti1 0.250 0.995 0.431
Cd1 0.251 0.995 0.738
```


3.
Here is crystalline LiCdAs at its relaxed geometry from Alexandria. Energies are from PBE.

## Properties
Mass density = 5.49 g/cm3
Volume = 19.59 Å³/atom
M_tot = 0.00 μB per formula unit
Raw total energy = -16.3 eV/cell

CIF file:
```
data_LiCdAs
_cell_length_a 3.861
_cell_length_b 3.861
_cell_length_c 7.886
_cell_angle_alpha 90.00
_cell_angle_beta 90.00
_cell_angle_gamma 90.00
_space_group_name_H-M_alt 'I 4 m m'
_space_group_IT_number 107
_space_group_name_Hall 'I 4 -2'
loop_
_atom_site_label
_atom_site_fract_x
_atom_site_fract_y
_atom_site_fract_z
Li1 0.000 0.000 0.000
Cd1 0.000 0.000 0.674
As1 0.000 0.000 0.322
```


4.
Here is crystalline Li2CrW at its relaxed geometry from Alexandria. Energies are from PBE.

## Properties
Energy relative to the lowest polymorph listed for this composition = 143 meV/atom
Mass density = 7.25 g/cm3
Volume = 14.30 Å³/atom
M_tot = 1.26 μB per formula unit

CIF file:
```
data_Li2CrW
_cell_length_a 10.500
_cell_length_b 2.894
_cell_length_c 4.083
_cell_angle_alpha 90.00
_cell_angle_beta 112.80
_cell_angle_gamma 90.00
_space_group_name_H-M_alt 'C 1 2/m 1'
_space_group_IT_number 12
loop_
_space_group_symop_operation_xyz
'x,y,z'
'-x,-y,-z'
'-x,y,-z'
'x,-y,z'
'x+1/2,y+1/2,z'
'-x+1/2,-y+1/2,-z'
'-x+1/2,y+1/2,-z'
'x+1/2,-y+1/2,z'
loop_
_atom_site_label
_atom_site_fract_x
_atom_site_fract_y
_atom_site_fract_z
Li1 0.243 0.000 0.243
Cr1 0.000 0.500 0.000
W1 0.000 0.000 0.500
```


5.
Here is crystalline CaBrN2F at its relaxed geometry from Alexandria. Energies are from PBE.

## Properties
Energy relative to the lowest polymorph listed for this composition = 0 meV/atom
Mass density = 3.80 g/cm3
E_form (uncorrected) = 0.476 eV per atom
Volume = 14.58 Å³/atom
M_tot = 0.37 μB per formula unit

CIF file:
```
data_CaBrN2F
_cell_length_a 3.873
_cell_length_b 3.873
_cell_length_c 4.860
_cell_angle_alpha 90.00
_cell_angle_beta 90.00
_cell_angle_gamma 90.00
_space_group_name_H-M_alt 'P 4/m m m'
_space_group_IT_number 123
_space_group_name_Hall '-P 4 2'
loop_
_atom_site_label
_atom_site_fract_x
_atom_site_fract_y
_atom_site_fract_z
Ca1 0.000 0.000 0.000
Br1 0.500 0.500 0.500
N1 0.000 0.500 0.500
F1 0.500 0.500 0.000
```


6.
Here is crystalline Nd2YTm at its relaxed geometry from Alexandria. Energies are from PBE.

## Properties
Energy relative to the lowest polymorph listed for this composition = 7 meV/atom
Mass density = 6.83 g/cm3
Volume = 33.19 Å³/atom
M_tot = 0.00 μB per formula unit

CIF file:
```
data_Nd2YTm
_cell_length_a 3.6236
_cell_length_b 3.6236
_cell_length_c 35.0190
_cell_angle_alpha 90.00
_cell_angle_beta 90.00
_cell_angle_gamma 120.00
_space_group_name_H-M_alt 'R 3 m'
_space_group_IT_number 160
_space_group_name_Hall 'R 3 -2"'
loop_
_atom_site_label
_atom_site_fract_x
_atom_site_fract_y
_atom_site_fract_z
Nd1 0.0000 0.0000 0.0000
Nd2 0.0000 0.0000 0.1679
Y1 0.0000 0.0000 0.7508
Tm1 0.0000 0.0000 0.5834
```


7.
Here is crystalline RbTe3Os at its relaxed geometry from Alexandria. Energies are from PBE.

## Properties
Mass density = 6.80 g/cm3
E_form (uncorrected) = 0.223 eV per atom
Volume = 32.16 Å³/atom
M_tot = 1.84 μB per formula unit

CIF file:
```
data_RbTe3Os
_cell_length_a 5.438
_cell_length_b 5.438
_cell_length_c 5.438
_cell_angle_alpha 90.00
_cell_angle_beta 90.00
_cell_angle_gamma 90.00
_space_group_name_H-M_alt 'P m -3 m'
_space_group_IT_number 221
_space_group_name_Hall '-P 4 2 3'
loop_
_atom_site_label
_atom_site_fract_x
_atom_site_fract_y
_atom_site_fract_z
Rb1 0.000 0.000 0.000
Te1 0.000 0.500 0.500
Os1 0.500 0.500 0.500
```


8.
Here is crystalline Fe2Pb3 at its relaxed geometry from Alexandria. Energies are from PBE.

## Properties
Mass density = 10.50 g/cm3
Volume = 23.19 Å³/atom
M_tot = 5.31 μB per formula unit
Raw total energy = -207.7 eV/cell

CIF file:
```
data_Fe2Pb3
_cell_length_a 14.415
_cell_length_b 19.700
_cell_length_c 3.266
_cell_angle_alpha 90.00
_cell_angle_beta 90.00
_cell_angle_gamma 90.00
_space_group_name_H-M_alt 'F d d 2'
_space_group_IT_number 43
_space_group_name_Hall 'F 2 -2d'
loop_
_atom_site_label
_atom_site_fract_x
_atom_site_fract_y
_atom_site_fract_z
Fe1 0.056 0.269 0.000
Pb1 0.000 0.000 0.844
Pb2 0.097 0.143 0.513
```